(1)
The following is a DFT calculation (GGA-PBE) of a relaxed structure of Zn2TeMo.

For the density, the calculation gives 8.272 g/cm3. Its size of the total moment is 1.263 μB per formula unit. The raw total energy comes out at -14.703 eV for the cell shown. Its formation energy (no corrections) is 0.4544 eV/atom.

Cell: 4.2643 4.2643 3.9119 Å, 90.00 90.00 90.00°
Last column: nearest neighbours and their distance in Å.
Space group P4/mmm (No. 123)
Unique sites:
1 Zn 0.0000 0.5000 0.0000 (multiplicity 2)  4 Mo 2.89, 4 Te 2.89, 4 Zn 3.02
2 Te 0.0000 0.0000 0.5000 (multiplicity 1)  8 Zn 2.89, 4 Mo 3.02
3 Mo 0.5000 0.5000 0.5000 (multiplicity 1)  8 Zn 2.89, 4 Te 3.02

(2)
The following is a DFT calculation (GGA-PBE) of a relaxed structure of Zn2TeMo.

For the density, the calculation gives 8.438 g/cm3. Its size of the total moment is 0.000 μB per formula unit. The raw total energy comes out at -30.005 eV for the cell shown. Its formation energy (no corrections) is 0.3795 eV/atom.

Cell: 3.5752 4.2061 9.2745 Å, 90.00 90.00 90.00°
Last column: nearest neighbours and their distance in Å.
Space group Immm (No. 71)
Unique sites:
1 Zn 0.0000 0.0000 0.2450 (multiplicity 4)  4 Zn 2.76, 2 Mo 2.89, 2 Te 2.96
2 Te 0.0000 0.5000 0.0000 (multiplicity 2)  4 Mo 2.76, 4 Zn 2.96
3 Mo 0.0000 0.5000 0.5000 (multiplicity 2)  4 Te 2.76, 4 Zn 2.89

(3)
The following is a DFT calculation (GGA-PBE) of a relaxed structure of ZnTe3Mo.

For the density, the calculation gives 6.240 g/cm3. Its size of the total moment is 3.429 μB per formula unit. The raw total energy comes out at -16.488 eV for the cell shown. Its formation energy (no corrections) is 1.0084 eV/atom.

Cell: 5.2513 5.2513 5.2513 Å, 90.00 90.00 90.00°
Last column: nearest neighbours and their distance in Å.
Space group Pm-3m (No. 221)
Unique sites:
1 Zn 0.0000 0.0000 0.0000 (multiplicity 1)  6 Te 2.63
2 Te 0.0000 0.0000 0.5000 (multiplicity 3)  2 Zn 2.63
3 Mo 0.5000 0.5000 0.5000 (multiplicity 1)  12 Te 3.71

(4)
The following is a DFT calculation (GGA-PBE) of a relaxed structure of Zn2TeMo.

For the density, the calculation gives 7.551 g/cm3. Its size of the total moment is 0.000 μB per formula unit. The raw total energy comes out at -46.696 eV for the cell shown. Its formation energy (no corrections) is 0.2388 eV/atom.

Cell: 3.2543 3.2543 25.4893 Å, 90.00 90.00 120.00°
Last column: nearest neighbours and their distance in Å.
Space group R3m (No. 160, hexagonal axes)
Unique sites:
1 Zn 0.0000 0.0000 0.0000 (multiplicity 3)  3 Zn 2.67, 3 Mo 2.77
2 Zn 0.0000 0.0000 0.2590 (multiplicity 3)  3 Zn 2.67
3 Te 0.0000 0.0000 0.4885 (multiplicity 3)  3 Mo 2.68
4 Mo 0.0000 0.0000 0.7466 (multiplicity 3)  3 Te 2.68, 3 Zn 2.77

(5)
The following is a DFT calculation (GGA-PBE) of a relaxed structure of Zn2TeMo.

For the density, the calculation gives 7.639 g/cm3. Its size of the total moment is 0.000 μB per formula unit. The raw total energy comes out at -29.604 eV for the cell shown. Its formation energy (no corrections) is 0.4296 eV/atom.

Cell: 3.4770 4.9579 8.9364 Å, 90.00 90.00 90.00°
Last column: nearest neighbours and their distance in Å.
Space group Cmm2 (No. 35)
Unique sites:
1 Zn 0.0000 0.0000 0.0000 (multiplicity 2)  2 Zn 2.61, 2 Mo 2.65
2 Zn 0.0000 0.5000 0.2184 (multiplicity 2)  2 Zn 2.61
3 Te 0.0000 0.0000 0.5372 (multiplicity 2)  2 Mo 2.75, 4 Te 3.03
4 Mo 0.0000 0.5000 0.7759 (multiplicity 2)  2 Zn 2.65, 2 Te 2.75

(6)
The following is a DFT calculation (GGA-PBE) of a relaxed structure of ZnTe2Mo.

For the density, the calculation gives 7.102 g/cm3. Its size of the total moment is 0.000 μB per formula unit. The raw total energy comes out at -52.759 eV for the cell shown. Its formation energy (no corrections) is 0.2005 eV/atom.

Cell: 3.2395 3.2395 32.1492 Å, 90.00 90.00 120.00°
Last column: nearest neighbours and their distance in Å.
Space group R3m (No. 160, hexagonal axes)
Unique sites:
1 Zn 0.0000 0.0000 0.0000 (multiplicity 3)  3 Mo 2.76
2 Te 0.0000 0.0000 0.2468 (multiplicity 3)  6 Te 3.24, 3 Zn 3.35
3 Te 0.0000 0.0000 0.4560 (multiplicity 3)  3 Mo 2.68
4 Mo 0.0000 0.0000 0.7296 (multiplicity 3)  3 Te 2.68, 3 Zn 2.76

(7)
The following is a DFT calculation (GGA-PBE) of a relaxed structure of Zn2TeMo.

For the density, the calculation gives 7.184 g/cm3. Its size of the total moment is 0.000 μB per formula unit. The raw total energy comes out at -15.064 eV for the cell shown. Its formation energy (no corrections) is 0.3641 eV/atom.

Cell: 2.9014 2.9014 9.7295 Å, 90.00 90.00 90.00°
Last column: nearest neighbours and their distance in Å.
Space group P4/mmm (No. 123)
Unique sites:
1 Zn 0.0000 0.0000 0.1880 (multiplicity 2)  4 Mo 2.75, 4 Zn 2.90
2 Te 0.5000 0.5000 0.5000 (multiplicity 1)  4 Te 2.90
3 Mo 0.5000 0.5000 0.0000 (multiplicity 1)  8 Zn 2.75, 4 Mo 2.90

(8)
The following is a DFT calculation (GGA-PBE) of a relaxed structure of ZnTe2Mo.

For the density, the calculation gives 5.809 g/cm3. Its size of the total moment is 2.042 μB per formula unit. The raw total energy comes out at -68.703 eV for the cell shown. Its formation energy (no corrections) is 0.3032 eV/atom.

Cell: 6.3658 6.3658 11.7529 Å, 90.00 90.00 90.00°
Last column: nearest neighbours and their distance in Å.
Space group I-42d (No. 122)
Unique sites:
1 Zn 0.0000 0.0000 0.0000 (multiplicity 4)  4 Te 2.69
2 Te 0.2489 0.2500 0.6250 (multiplicity 8)  2 Mo 2.68, 2 Zn 2.69
3 Mo 0.0000 0.0000 0.5000 (multiplicity 4)  4 Te 2.68

(9)
The following is a DFT calculation (GGA-PBE) of a relaxed structure of ZnTe2Mo.

For the density, the calculation gives 8.240 g/cm3. Its size of the total moment is 1.649 μB per formula unit. The raw total energy comes out at -16.332 eV for the cell shown. Its formation energy (no corrections) is 0.5141 eV/atom.

Cell: 4.9394 4.9394 3.4404 Å, 90.00 90.00 90.00°
Last column: nearest neighbours and their distance in Å.
Space group P4/mmm (No. 123)
Unique sites:
1 Zn 0.0000 0.0000 0.0000 (multiplicity 1)  8 Te 3.01
2 Te 0.0000 0.5000 0.5000 (multiplicity 2)  4 Mo 3.01, 4 Zn 3.01
3 Mo 0.5000 0.5000 0.0000 (multiplicity 1)  8 Te 3.01

(10)
The following is a DFT calculation (GGA-PBE) of a relaxed structure of ZnTeMo.

For the density, the calculation gives 7.523 g/cm3. Its size of the total moment is 0.000 μB per formula unit. The raw total energy comes out at -52.161 eV for the cell shown. Its formation energy (no corrections) is 0.7355 eV/atom.

Cell: 6.3422 6.3422 6.3422 Å, 90.00 90.00 90.00°
Last column: nearest neighbours and their distance in Å.
Space group F-43m (No. 216)
Unique sites:
1 Zn 0.0000 0.0000 0.0000 (multiplicity 4)  4 Te 2.75
2 Te 0.2500 0.2500 0.7500 (multiplicity 4)  4 Zn 2.75, 4 Mo 2.75
3 Mo 0.0000 0.0000 0.5000 (multiplicity 4)  4 Te 2.75

(11)
The following is a DFT calculation (GGA-PBE) of a relaxed structure of Zn2TeMo.

For the density, the calculation gives 8.339 g/cm3. Its size of the total moment is 1.527 μB per formula unit. The raw total energy comes out at -30.297 eV for the cell shown. Its formation energy (no corrections) is 0.3430 eV/atom.

Cell: 4.0791 4.0791 8.4822 Å, 90.00 90.00 90.00°
Last column: nearest neighbours and their distance in Å.
Space group I-4m2 (No. 119)
Unique sites:
1 Zn 0.0000 0.0000 0.0000 (multiplicity 2)  4 Te 2.88, 4 Mo 2.94, 4 Zn 2.94
2 Zn 0.0000 0.5000 0.2500 (multiplicity 2)  4 Mo 2.88, 4 Te 2.94, 4 Zn 2.94
3 Te 0.0000 0.0000 0.5000 (multiplicity 2)  8 Zn 2.88-2.94, 4 Mo 2.94
4 Mo 0.0000 0.5000 0.7500 (multiplicity 2)  8 Zn 2.88-2.94, 4 Te 2.94

(12)
The following is a DFT calculation (GGA-PBE) of a relaxed structure of ZnTe2Mo.

For the density, the calculation gives 7.094 g/cm3. Its size of the total moment is 0.069 μB per formula unit. The raw total energy comes out at -46.084 eV for the cell shown. Its formation energy (no corrections) is 0.7568 eV/atom.

Cell: 3.5657 3.5657 26.5669 Å, 90.00 90.00 120.00°
Last column: nearest neighbours and their distance in Å.
Space group R-3m (No. 166, hexagonal axes)
Unique sites:
1 Zn 0.0000 0.0000 0.0000 (multiplicity 3)  6 Te 2.76
2 Te 0.0000 0.0000 0.4025 (multiplicity 6)  1 Mo 2.59, 3 Zn 2.76
3 Mo 0.0000 0.0000 0.5000 (multiplicity 3)  2 Te 2.59

(13)
The following is a DFT calculation (GGA-PBE) of a relaxed structure of ZnTe2Mo.

For the density, the calculation gives 8.298 g/cm3. Its size of the total moment is 0.000 μB per formula unit. The raw total energy comes out at -17.685 eV for the cell shown. Its formation energy (no corrections) is 0.1759 eV/atom.

Cell: 3.6515 4.5413 5.3447 Å, 90.00 109.86 90.00°
Last column: nearest neighbours and their distance in Å.
Space group Pm (No. 6)
Unique sites:
1 Zn 0.0000 0.0000 0.0000 (multiplicity 1)  7 Te 2.73-2.97, 2 Mo 2.77
2 Te 0.4423 0.5000 0.8864 (multiplicity 1)  3 Mo 2.83-2.86, 4 Zn 2.97
3 Te 0.7292 0.0000 0.4572 (multiplicity 1)  3 Zn 2.73-2.94, 4 Mo 2.99-3.00
4 Mo 0.1567 0.5000 0.3169 (multiplicity 1)  2 Zn 2.77, 7 Te 2.83-3.00

(14)
The following is a DFT calculation (GGA-PBE) of a relaxed structure of Zn2TeMo.

For the density, the calculation gives 8.031 g/cm3. Its size of the total moment is 0.000 μB per formula unit. The raw total energy comes out at -14.760 eV for the cell shown. Its formation energy (no corrections) is 0.4402 eV/atom.

Cell: 3.1371 5.0468 4.6358 Å, 90.00 93.32 90.00°
Last column: nearest neighbours and their distance in Å.
Space group P2/m (No. 10)
Unique sites:
1 Zn 0.2406 0.0000 0.2747 (multiplicity 2)  2 Zn 2.57-2.65, 2 Mo 2.83
2 Te 0.0000 0.5000 0.0000 (multiplicity 1)  4 Mo 2.72-2.87, 4 Zn 2.91
3 Mo 0.5000 0.5000 0.5000 (multiplicity 1)  4 Te 2.72-2.87, 4 Zn 2.83

(15)
The following is a DFT calculation (GGA-PBE) of a relaxed structure of Zn2TeMo.

For the density, the calculation gives 8.358 g/cm3. Its size of the total moment is 0.000 μB per formula unit. The raw total energy comes out at -15.916 eV for the cell shown. Its formation energy (no corrections) is 0.1511 eV/atom.

Cell: 3.4708 3.4708 5.8443 Å, 90.00 90.00 90.00°
Last column: nearest neighbours and their distance in Å.
Space group P4mm (No. 99)
Unique sites:
1 Zn 0.0000 0.0000 0.0000 (multiplicity 1)  1 Mo 2.67, 4 Zn 2.73
2 Zn 0.5000 0.5000 0.2050 (multiplicity 1)  4 Zn 2.73, 2 Te 2.84-3.00, 4 Mo 2.86
3 Te 0.5000 0.5000 0.6918 (multiplicity 1)  4 Mo 2.81, 6 Zn 2.84-3.04
4 Mo 0.0000 0.0000 0.4563 (multiplicity 1)  5 Zn 2.67-2.86, 4 Te 2.81

(16)
The following is a DFT calculation (GGA-PBE) of a relaxed structure of ZnTe4Mo.

For the density, the calculation gives 6.223 g/cm3. Its size of the total moment is 4.235 μB per formula unit. The raw total energy comes out at -75.203 eV for the cell shown. Its formation energy (no corrections) is 0.9785 eV/atom.

Cell: 8.9502 8.9502 8.9502 Å, 90.00 90.00 90.00°
Last column: nearest neighbours and their distance in Å.
Space group F-43m (No. 216)
Unique sites:
1 Zn 0.0000 0.0000 0.0000 (multiplicity 4)  12 Te 3.71, 4 Mo 3.88
2 Te 0.1245 0.1245 0.3755 (multiplicity 16)  6 Te 3.15-3.18
3 Mo 0.2500 0.2500 0.7500 (multiplicity 4)  12 Te 3.71, 4 Zn 3.88

(17)
The following is a DFT calculation (GGA-PBE) of a relaxed structure of Zn2TeMo.

For the density, the calculation gives 8.337 g/cm3. Its size of the total moment is 0.000 μB per formula unit. The raw total energy comes out at -15.287 eV for the cell shown. Its formation energy (no corrections) is 0.3084 eV/atom.

Cell: 3.6288 3.6288 5.3599 Å, 90.00 90.00 90.00°
Last column: nearest neighbours and their distance in Å.
Space group P4/mmm (No. 123)
Unique sites:
1 Zn 0.0000 0.0000 0.2267 (multiplicity 2)  1 Zn 2.43
2 Te 0.5000 0.5000 0.5000 (multiplicity 1)  2 Mo 2.68, 8 Zn 2.95
3 Mo 0.5000 0.5000 0.0000 (multiplicity 1)  2 Te 2.68, 8 Zn 2.84

(18)
The following is a DFT calculation (GGA-PBE) of a relaxed structure of ZnTe3Mo.

For the density, the calculation gives 5.945 g/cm3. Its size of the total moment is 0.000 μB per formula unit. The raw total energy comes out at -19.166 eV for the cell shown. Its formation energy (no corrections) is 0.4729 eV/atom.

Cell: 5.3367 5.3367 5.3367 Å, 90.00 90.00 90.00°
Last column: nearest neighbours and their distance in Å.
Space group Pm-3m (No. 221)
Unique sites:
1 Zn 0.0000 0.0000 0.0000 (multiplicity 1)  12 Te 3.77
2 Te 0.0000 0.5000 0.5000 (multiplicity 3)  2 Mo 2.67
3 Mo 0.5000 0.5000 0.5000 (multiplicity 1)  6 Te 2.67

(19)
The following is a DFT calculation (GGA-PBE) of a relaxed structure of Zn2TeMo.

For the density, the calculation gives 7.650 g/cm3. Its size of the total moment is 0.000 μB per formula unit. The raw total energy comes out at -44.458 eV for the cell shown. Its formation energy (no corrections) is 0.4254 eV/atom.

Cell: 3.0499 3.0499 28.6445 Å, 90.00 90.00 120.00°
Last column: nearest neighbours and their distance in Å.
Space group R-3m (No. 166, hexagonal axes)
Unique sites:
1 Zn 0.0000 0.0000 0.2385 (multiplicity 6)  3 Mo 2.71
2 Te 0.0000 0.0000 0.0000 (multiplicity 3)  6 Te 3.05, 6 Zn 3.24
3 Mo 0.0000 0.0000 0.5000 (multiplicity 3)  6 Zn 2.71

(20)
The following is a DFT calculation (GGA-PBE) of a relaxed structure of Zn2TeMo.

For the density, the calculation gives 8.065 g/cm3. Its size of the total moment is 0.000 μB per formula unit. The raw total energy comes out at -30.698 eV for the cell shown. Its formation energy (no corrections) is 0.2929 eV/atom.

Cell: 9.3635 3.2190 4.8854 Å, 90.00 97.72 90.00°
Last column: nearest neighbours and their distance in Å.
Space group Cm (No. 8)
Unique sites:
1 Zn 0.0000 0.0000 0.0000 (multiplicity 2)  1 Zn 2.59, 2 Te 2.81
2 Zn 0.2424 0.0000 0.8011 (multiplicity 2)  1 Zn 2.59, 2 Mo 2.82, 1 Te 2.84
3 Te 0.4640 0.0000 0.4581 (multiplicity 2)  3 Mo 2.71-2.83, 3 Zn 2.81-2.84
4 Mo 0.2382 0.5000 0.2729 (multiplicity 2)  3 Te 2.71-2.83, 7 Zn 2.82-3.04